(1)
Cs2NiICl6 PBE optimized geometry; uncorrected formation energy = -99.42 kJ/mol of atoms; DFT total energy = -30.4 eV/cell; total magnetic moment = 0.00 Bohr magnetons per cell
1.0
7.909 0.000 0.000
0.000 7.909 0.000
3.954 3.954 5.092
Ni I Cl Cs
1 1 6 2
direct
0.500 0.500 0.000 Ni
0.000 0.000 0.000 I
0.700 0.300 0.000 Cl
0.300 0.700 0.000 Cl
0.256 0.256 0.489 Cl
0.700 0.700 0.000 Cl
0.300 0.300 0.000 Cl
0.744 0.744 0.511 Cl
0.750 0.250 0.500 Cs
0.250 0.750 0.500 Cs

=====

(2)
Cs2NiI6Cl PBE optimized geometry; uncorrected formation energy = -61.99 kJ/mol of atoms; DFT total energy = -25.1 eV/cell; total magnetic moment = 0.00 Bohr magnetons per cell
1.0
-7.162 0.117 3.813
1.236 -7.602 2.555
-0.235 -1.599 8.244
Cs I Ni Cl
2 6 1 1
direct
0.250 0.750 0.500 Cs
0.750 0.250 0.500 Cs
0.211 0.211 0.577 I
0.789 0.789 0.423 I
0.767 0.233 0.000 I
0.233 0.233 0.000 I
0.767 0.767 0.000 I
0.233 0.767 0.000 I
0.000 0.000 0.000 Ni
0.500 0.500 0.000 Cl

=====

(3)
Cs2NpICl6 PBE optimized geometry; uncorrected formation energy = -152.95 kJ/mol of atoms; DFT total energy = -43.1 eV/cell; total magnetic moment = 2.63 Bohr magnetons per cell
1.0
-10.015 -0.898 -1.921
-0.210 -5.975 3.886
-1.161 6.314 3.103
Cl Np Cs I
6 1 2 1
direct
0.146 0.334 0.167 Cl
0.146 0.833 0.666 Cl
0.854 0.167 0.334 Cl
0.854 0.666 0.833 Cl
0.854 0.167 0.833 Cl
0.146 0.833 0.167 Cl
0.000 0.000 0.000 Np
0.267 0.333 0.667 Cs
0.733 0.667 0.333 Cs
0.500 0.000 0.000 I

=====

(4)
Cs2NpI5Cl PBE optimized geometry; uncorrected formation energy = -125.22 kJ/mol of atoms; DFT total energy = -35.9 eV/cell; total magnetic moment = 3.00 Bohr magnetons per cell
1.0
-4.755 6.134 -3.410
-0.640 -7.862 -3.105
-1.752 -2.626 7.868
Cl I Cs Np
1 5 2 1
direct
0.000 0.774 0.774 Cl
0.495 0.245 0.245 I
0.505 0.750 0.750 I
0.000 0.245 0.750 I
0.000 0.248 0.248 I
0.000 0.750 0.245 I
0.500 0.747 0.247 Cs
0.500 0.247 0.747 Cs
0.000 0.993 0.993 Np

=====

(5)
CsNpICl3 PBE optimized geometry; uncorrected formation energy = -147.27 kJ/mol of atoms; DFT total energy = -60.1 eV/cell; total magnetic moment = 8.00 Bohr magnetons per cell
1.0
7.607 0.000 0.000
0.000 6.997 0.000
0.000 -3.499 12.067
Np Cl Cs I
2 6 2 2
direct
0.750 0.969 0.938 Np
0.250 0.031 0.062 Np
0.750 0.864 0.729 Cl
0.000 0.748 0.000 Cl
0.000 0.252 0.000 Cl
0.500 0.252 0.000 Cl
0.250 0.136 0.271 Cl
0.500 0.748 0.000 Cl
0.250 0.735 0.470 Cs
0.750 0.265 0.530 Cs
0.750 0.692 0.384 I
0.250 0.308 0.616 I

=====

(6)
Cs2NpI2Cl4 PBE optimized geometry; uncorrected formation energy = -159.31 kJ/mol of atoms; DFT total energy = -40.0 eV/cell; total magnetic moment = 3.00 Bohr magnetons per cell
1.0
-2.690 -5.686 5.067
7.275 3.281 1.242
-3.480 7.289 0.029
Cs Cl I Np
2 4 2 1
direct
0.500 0.750 0.250 Cs
0.500 0.250 0.750 Cs
0.000 0.775 0.225 Cl
0.451 0.225 0.225 Cl
0.549 0.775 0.775 Cl
0.000 0.225 0.775 Cl
0.000 0.732 0.732 I
0.000 0.268 0.268 I
0.000 0.000 0.000 Np